1.
Entry from Alexandria via LeMat-Bulk: a geometry-optimized Th2SbPt9 structure (PBE).

Unit cell a=4.2073 b=4.2073 c=12.4642 alpha=90.00 beta=90.00 gamma=90.00
Closest atoms and distances in Å follow each position.
Sites, in units of the cell vectors:
Th (0.0000, 0.0000, 0.3288)  12 Pt 2.96-3.00
Th (0.0000, 0.0000, 0.6712)  12 Pt 2.96-3.00
Sb (0.0000, 0.0000, 0.0000)  12 Pt 2.91-2.97
Pt (0.5000, 0.5000, 0.0000)  8 Pt 2.91, 4 Sb 2.97
Pt (0.5000, 0.5000, 0.3298)  8 Pt 2.97-2.99, 4 Th 2.98
Pt (0.5000, 0.5000, 0.6702)  8 Pt 2.97-2.99, 4 Th 2.98
Pt (0.5000, 0.0000, 0.1612)  2 Sb 2.91, 8 Pt 2.91-2.97, 2 Th 2.96
Pt (0.5000, 0.0000, 0.5000)  8 Pt 2.97-2.99, 4 Th 3.00
Pt (0.5000, 0.0000, 0.8388)  2 Sb 2.91, 8 Pt 2.91-2.97, 2 Th 2.96
Pt (0.0000, 0.5000, 0.1612)  2 Sb 2.91, 8 Pt 2.91-2.97, 2 Th 2.96
Pt (0.0000, 0.5000, 0.5000)  8 Pt 2.97-2.99, 4 Th 3.00
Pt (0.0000, 0.5000, 0.8388)  2 Sb 2.91, 8 Pt 2.91-2.97, 2 Th 2.96

Summary:
Electronic total energy: -82.67 eV for the cell shown
Formation energy from raw total energies: -9.340 eV/f.u.
Total magnetization: 0.000 μB per atom
Volume: 18.39 Å³ per atom
Calculated density: 17.62 Mg/m³

---

2.
Entry from Alexandria via LeMat-Bulk: a geometry-optimized TbIn2I8 structure (PBE).

Unit cell a=7.4853 b=9.1399 c=9.1399 alpha=78.62 beta=81.83 gamma=81.83
Closest atoms and distances in Å follow each position.
Sites, in units of the cell vectors:
Tb (0.0000, 0.0000, 0.0000)  6 I 3.05-3.09
In (0.6638, 0.7983, 0.7983)  4 I 2.77-2.93
In (0.3362, 0.2017, 0.2017)  4 I 2.77-2.93
I (0.2154, 0.2695, 0.9025)  1 In 2.92, 1 Tb 3.05
I (0.7846, 0.0975, 0.7305)  1 In 2.92, 1 Tb 3.05
I (0.2695, 0.8065, 0.8065)  1 In 2.93, 1 Tb 3.09
I (0.7305, 0.1935, 0.1935)  1 In 2.93, 1 Tb 3.09
I (0.2154, 0.9025, 0.2695)  1 In 2.92, 1 Tb 3.05
I (0.7846, 0.7305, 0.0975)  1 In 2.92, 1 Tb 3.05
I (0.8421, 0.6088, 0.6088)  1 In 2.77
I (0.1579, 0.3912, 0.3912)  1 In 2.77

Summary:
Electronic total energy: -30.73 eV for the cell shown
Formation energy from raw total energies: -8.220 eV/f.u.
Total magnetization: 0.000 μB per atom
Volume: 54.78 Å³ per atom
Calculated density: 3.87 Mg/m³

---

3.
Entry from Alexandria via LeMat-Bulk: a geometry-optimized ScCr2SbW structure (PBE).

Unit cell a=4.6159 b=4.8593 c=4.6159 alpha=90.00 beta=90.00 gamma=90.00
Closest atoms and distances in Å follow each position.
Sites, in units of the cell vectors:
Sc (0.0000, 0.0000, 0.0000)  4 Cr 2.31, 2 W 2.43
Sb (0.5000, 0.5000, 0.5000)  4 W 3.26, 8 Cr 3.35
W (0.0000, 0.5000, 0.0000)  2 Sc 2.43
Cr (0.0000, 0.0000, 0.5000)  2 Sc 2.31
Cr (0.5000, 0.0000, 0.0000)  2 Sc 2.31

Summary:
Electronic total energy: -33.74 eV for the cell shown
Formation energy from raw total energies: 8.916 eV/f.u.
Total magnetization: 0.965 μB per atom
Volume: 20.71 Å³ per atom
Calculated density: 7.29 Mg/m³

---

4.
Entry from Alexandria via LeMat-Bulk: a geometry-optimized Tc2PF structure (PBE).

Unit cell a=4.1078 b=4.1078 c=4.1078 alpha=60.00 beta=60.00 gamma=60.00
Closest atoms and distances in Å follow each position.
Sites, in units of the cell vectors:
P (0.5000, 0.5000, 0.5000)  8 Tc 2.52
Tc (0.2500, 0.2500, 0.2500)  4 P 2.52, 4 F 2.52
Tc (0.7500, 0.7500, 0.7500)  4 F 2.52, 4 P 2.52
F (0.0000, 0.0000, 0.0000)  8 Tc 2.52

Summary:
Electronic total energy: -29.27 eV for the cell shown
Formation energy from raw total energies: -1.258 eV/f.u.
Total magnetization: 0.000 μB per atom
Volume: 12.25 Å³ per atom
Calculated density: 8.33 Mg/m³

---

5.
Entry from Alexandria via LeMat-Bulk: a geometry-optimized DyHI structure (PBE).

Unit cell a=6.2784 b=7.7066 c=7.1577 alpha=90.00 beta=90.00 gamma=90.00
Closest atoms and distances in Å follow each position.
Sites, in units of the cell vectors:
I (0.5488, 0.1929, 0.9261)  3 Dy 3.09-3.20, 1 H 3.17
I (0.0488, 0.1929, 0.5739)  3 Dy 3.09-3.20, 1 H 3.17
I (0.0488, 0.8071, 0.0739)  3 Dy 3.09-3.20, 1 H 3.17
I (0.5488, 0.8071, 0.4261)  3 Dy 3.09-3.20, 1 H 3.17
H (0.5656, 0.3996, 0.3671)  3 Dy 2.24-2.26
H (0.5656, 0.6004, 0.8671)  3 Dy 2.24-2.26
H (0.0656, 0.3996, 0.1329)  3 Dy 2.24-2.26
H (0.0656, 0.6004, 0.6329)  3 Dy 2.24-2.26
Dy (0.3926, 0.5236, 0.1288)  3 H 2.24-2.26
Dy (0.8926, 0.5236, 0.3712)  3 H 2.24-2.26
Dy (0.3926, 0.4764, 0.6288)  3 H 2.24-2.26
Dy (0.8926, 0.4764, 0.8712)  3 H 2.24-2.26

Summary:
Electronic total energy: -46.99 eV for the cell shown
Total magnetization: 0.333 μB per atom
Volume: 28.86 Å³ per atom
Calculated density: 5.57 Mg/m³

---

6.
Entry from Alexandria via LeMat-Bulk: a geometry-optimized Na2Te2Pd structure (PBE).

Unit cell a=7.3652 b=7.3652 c=4.8891 alpha=90.00 beta=90.00 gamma=90.00
Closest atoms and distances in Å follow each position.
Sites, in units of the cell vectors:
Na (0.1549, 0.6549, 0.5000)  6 Te 3.08-3.39, 1 Na 3.23
Na (0.6549, 0.8451, 0.5000)  6 Te 3.08-3.39, 1 Na 3.23
Na (0.8451, 0.3451, 0.5000)  6 Te 3.08-3.39, 1 Na 3.23
Na (0.3451, 0.1549, 0.5000)  6 Te 3.08-3.39, 1 Na 3.23
Te (0.3353, 0.8353, 0.0000)  2 Pd 2.75
Te (0.8353, 0.6647, 0.0000)  2 Pd 2.75
Te (0.6647, 0.1647, 0.0000)  2 Pd 2.75
Te (0.1647, 0.3353, 0.0000)  2 Pd 2.75
Pd (0.0000, 0.0000, 0.0000)  4 Te 2.75
Pd (0.5000, 0.5000, 0.0000)  4 Te 2.75

Summary:
Electronic total energy: -34.01 eV for the cell shown
Formation energy from raw total energies: -2.890 eV/f.u.
Total magnetization: 0.000 μB per atom
Volume: 26.52 Å³ per atom
Calculated density: 5.10 Mg/m³